# Ac12Tl5N2, optimized geometry, DFT PBE
# M_tot   0.000 μB/f.u.
# E_form (uncorrected)   -6.36 eV per formula unit
data_Ac12Tl5N2
_cell_length_a 20.137
_cell_length_b 7.919
_cell_length_c 9.726
_cell_angle_alpha 90.00
_cell_angle_beta 118.85
_cell_angle_gamma 90.00
_symmetry_space_group_name_H-M 'C 1 2/m 1'
_symmetry_Int_Tables_number 12
_symmetry_space_group_name_Hall '-C 2y'
loop_
_atom_site_label
_atom_site_fract_x
_atom_site_fract_y
_atom_site_fract_z
Ac1 0.000 0.000 0.177
Ac2 0.000 0.500 0.199
Ac3 0.147 0.255 0.647
Ac4 0.148 0.253 0.148
Tl1 0.000 0.000 0.500
Tl2 0.250 0.000 0.000
Tl3 0.250 0.000 0.500
N1 0.000 0.265 0.000

***

# Ac6Tl3N, optimized geometry, DFT PBE
# M_tot   0.000 μB/f.u.
# E_form (uncorrected)   -3.47 eV per formula unit
data_Ac6Tl3N
_cell_length_a 12.856
_cell_length_b 7.430
_cell_length_c 7.483
_cell_angle_alpha 90.00
_cell_angle_beta 97.51
_cell_angle_gamma 90.00
_symmetry_space_group_name_H-M 'C 1 2/m 1'
_symmetry_Int_Tables_number 12
_symmetry_space_group_name_Hall '-C 2y'
loop_
_atom_site_label
_atom_site_fract_x
_atom_site_fract_y
_atom_site_fract_z
Ac1 0.108 0.240 0.354
Ac2 0.144 0.000 0.857
Tl1 0.000 0.500 0.000
Tl2 0.168 0.500 0.743
N1 0.000 0.000 0.500

***

# Ac6Tl2N, optimized geometry, DFT PBE
# M_tot   0.001 μB/f.u.
# E_form (uncorrected)   -3.17 eV per formula unit
data_Ac6Tl2N
_cell_length_a 10.819
_cell_length_b 10.819
_cell_length_c 10.819
_cell_angle_alpha 90.00
_cell_angle_beta 90.00
_cell_angle_gamma 90.00
_symmetry_space_group_name_H-M 'F m -3 m'
_symmetry_Int_Tables_number 225
_symmetry_space_group_name_Hall '-F 4 2 3'
loop_
_atom_site_label
_atom_site_fract_x
_atom_site_fract_y
_atom_site_fract_z
Ac1 0.000 0.000 0.244
Tl1 0.250 0.250 0.250
N1 0.000 0.000 0.000

***

# Ac5Tl2N2, optimized geometry, DFT PBE
# M_tot   0.000 μB/f.u.
# Offset from the most stable computed form   0.0 meV per atom
# E_form (uncorrected)   -5.89 eV per formula unit
data_Ac5Tl2N2
_cell_length_a 21.011
_cell_length_b 7.618
_cell_length_c 7.462
_cell_angle_alpha 90.00
_cell_angle_beta 90.00
_cell_angle_gamma 90.00
_symmetry_space_group_name_H-M 'I m a 2'
_symmetry_Int_Tables_number 46
_symmetry_space_group_name_Hall 'I 2 -2a'
loop_
_atom_site_label
_atom_site_fract_x
_atom_site_fract_y
_atom_site_fract_z
Ac1 0.008 0.247 0.000
Ac2 0.144 0.539 0.772
Ac3 0.250 0.129 0.872
Tl1 0.109 0.512 0.245
N1 0.000 0.000 0.260
N2 0.250 0.082 0.211

***

# Ac2Tl2N, optimized geometry, DFT PBE
# M_tot   0.000 μB/f.u.
# E_form (uncorrected)   -2.66 eV per formula unit
data_Ac2Tl2N
_cell_length_a 4.029
_cell_length_b 4.029
_cell_length_c 39.378
_cell_angle_alpha 90.00
_cell_angle_beta 90.00
_cell_angle_gamma 90.00
_symmetry_space_group_name_H-M 'I 41/a m d'
_symmetry_Int_Tables_number 141
loop_
_symmetry_equiv_pos_as_xyz
'x,y,z'
'-x,-y,-z'
'-y+1/4,x+3/4,z+1/4'
'y+1/4,-x+3/4,-z+1/4'
'-x+1/2,-y,z+1/2'
'x+1/2,y,-z+1/2'
'y+1/4,-x+1/4,z+3/4'
'-y+1/4,x+1/4,-z+3/4'
'x,-y,-z'
'-x,y,z'
'-y+1/4,-x+1/4,-z+3/4'
'y+1/4,x+1/4,z+3/4'
'-x+1/2,y,-z+1/2'
'x+1/2,-y,z+1/2'
'y+1/4,x+3/4,-z+1/4'
'-y+1/4,-x+3/4,z+1/4'
'x+1/2,y+1/2,z+1/2'
'-x+1/2,-y+1/2,-z+1/2'
'-y+3/4,x+1/4,z+3/4'
'y+3/4,-x+1/4,-z+3/4'
'-x,-y+1/2,z'
'x,y+1/2,-z'
'y+3/4,-x+3/4,z+1/4'
'-y+3/4,x+3/4,-z+1/4'
'x+1/2,-y+1/2,-z+1/2'
'-x+1/2,y+1/2,z+1/2'
'-y+3/4,-x+3/4,-z+1/4'
'y+3/4,x+3/4,z+1/4'
'-x,y+1/2,-z'
'x,-y+1/2,z'
'y+3/4,x+1/4,-z+3/4'
'-y+3/4,-x+1/4,z+3/4'
loop_
_atom_site_label
_atom_site_fract_x
_atom_site_fract_y
_atom_site_fract_z
Ac1 0.000 0.250 0.089
Tl1 0.000 0.250 0.221
N1 0.000 0.250 0.875

***

# Ac8Tl3N2, optimized geometry, DFT PBE
# M_tot   0.000 μB/f.u.
# E_form (uncorrected)   -5.88 eV per formula unit
data_Ac8Tl3N2
_cell_length_a 7.6470
_cell_length_b 7.6470
_cell_length_c 28.8054
_cell_angle_alpha 90.00
_cell_angle_beta 90.00
_cell_angle_gamma 120.00
_symmetry_space_group_name_H-M 'R -3 m'
_symmetry_Int_Tables_number 166
_symmetry_space_group_name_Hall '-R 3 2"'
loop_
_atom_site_label
_atom_site_fract_x
_atom_site_fract_y
_atom_site_fract_z
Ac1 0.0000 0.0000 0.1845
Ac2 0.0011 0.5006 0.7318
Tl1 0.0000 0.0000 0.3013
Tl2 0.0000 0.0000 0.5000
N1 0.0000 0.0000 0.1016

***

# Ac4Tl3N, optimized geometry, DFT PBE
# M_tot   0.000 μB/f.u.
# E_form (uncorrected)   -4.16 eV per formula unit
data_Ac4Tl3N
_cell_length_a 8.250
_cell_length_b 8.250
_cell_length_c 8.250
_cell_angle_alpha 90.00
_cell_angle_beta 90.00
_cell_angle_gamma 90.00
_symmetry_space_group_name_H-M 'I -4 3 m'
_symmetry_Int_Tables_number 217
_symmetry_space_group_name_Hall 'I -4 2 3'
loop_
_atom_site_label
_atom_site_fract_x
_atom_site_fract_y
_atom_site_fract_z
Ac1 0.174 0.174 0.174
Tl1 0.000 0.000 0.500
N1 0.000 0.000 0.000

***

# Ac3TlN, optimized geometry, DFT PBE
# M_tot   0.000 μB/f.u.
# E_form (uncorrected)   -3.22 eV per formula unit
data_Ac3TlN
_cell_length_a 5.363
_cell_length_b 5.363
_cell_length_c 5.363
_cell_angle_alpha 90.00
_cell_angle_beta 90.00
_cell_angle_gamma 90.00
_symmetry_space_group_name_H-M 'P m -3 m'
_symmetry_Int_Tables_number 221
_symmetry_space_group_name_Hall '-P 4 2 3'
loop_
_atom_site_label
_atom_site_fract_x
_atom_site_fract_y
_atom_site_fract_z
Ac1 0.000 0.000 0.500
Tl1 0.500 0.500 0.500
N1 0.000 0.000 0.000

***

# Ac4TlN2, optimized geometry, DFT PBE
# M_tot   0.000 μB/f.u.
# E_form (uncorrected)   -4.64 eV per formula unit
data_Ac4TlN2
_cell_length_a 10.722
_cell_length_b 10.722
_cell_length_c 8.039
_cell_angle_alpha 90.00
_cell_angle_beta 90.00
_cell_angle_gamma 90.00
_symmetry_space_group_name_H-M 'I -4 2 d'
_symmetry_Int_Tables_number 122
_symmetry_space_group_name_Hall 'I -4 2bw'
loop_
_atom_site_label
_atom_site_fract_x
_atom_site_fract_y
_atom_site_fract_z
Ac1 0.057 0.204 0.371
Tl1 0.000 0.000 0.000
N1 0.072 0.750 0.625

***

# AcTmN, optimized geometry, DFT PBE
# M_tot   0.001 μB/f.u.
# Offset from the most stable computed form   244.1 meV per atom
# E_form (uncorrected)   -1.75 eV per formula unit
data_AcTmN
_cell_length_a 3.359
_cell_length_b 3.359
_cell_length_c 14.356
_cell_angle_alpha 90.00
_cell_angle_beta 90.00
_cell_angle_gamma 90.00
_symmetry_space_group_name_H-M 'I 4 m m'
_symmetry_Int_Tables_number 107
_symmetry_space_group_name_Hall 'I 4 -2'
loop_
_atom_site_label
_atom_site_fract_x
_atom_site_fract_y
_atom_site_fract_z
Ac1 0.000 0.000 0.000
Tm1 0.000 0.000 0.298
N1 0.000 0.000 0.826

***

# Ac2TmN, optimized geometry, DFT PBE
# M_tot   0.000 μB/f.u.
# E_form (uncorrected)   -1.17 eV per formula unit
data_Ac2TmN
_cell_length_a 3.7306
_cell_length_b 3.7306
_cell_length_c 30.7252
_cell_angle_alpha 90.00
_cell_angle_beta 90.00
_cell_angle_gamma 120.00
_symmetry_space_group_name_H-M 'R -3 m'
_symmetry_Int_Tables_number 166
_symmetry_space_group_name_Hall '-R 3 2"'
loop_
_atom_site_label
_atom_site_fract_x
_atom_site_fract_y
_atom_site_fract_z
Ac1 0.0000 0.0000 0.1168
Tm1 0.0000 0.0000 0.0000
N1 0.0000 0.0000 0.5000

***

# AcTmN, optimized geometry, DFT PBE
# M_tot   0.000 μB/f.u.
# Offset from the most stable computed form   0.0 meV per atom
# E_form (uncorrected)   -2.48 eV per formula unit
data_AcTmN
_cell_length_a 3.6059
_cell_length_b 3.6059
_cell_length_c 6.6997
_cell_angle_alpha 90.00
_cell_angle_beta 90.00
_cell_angle_gamma 120.00
_symmetry_space_group_name_H-M 'P 3 m 1'
_symmetry_Int_Tables_number 156
_symmetry_space_group_name_Hall 'P 3 -2"'
loop_
_atom_site_label
_atom_site_fract_x
_atom_site_fract_y
_atom_site_fract_z
Ac1 0.0000 0.0000 0.0000
Tm1 0.3333 0.6667 0.4314
N1 0.6667 0.3333 0.2873